VASP calculation (PBE) on a geometry-optimized NaNd2OsO6 structure.

Calculated values
- final energy (eV for the cell shown) = -150.1

Unit cell a=5.502 b=5.933 c=9.561 alpha=90.00 beta=124.04 gamma=90.00
Element x y z (fractional)
Na  0.000  0.000  0.000
Na  0.000  0.500  0.500
Nd  0.225  0.073  0.747
Nd  0.225  0.427  0.247
Nd  0.775  0.573  0.753
Nd  0.775  0.927  0.253
Os  0.500  0.000  0.500
Os  0.500  0.500  0.000
O  0.153  0.175  0.448
O  0.153  0.325  0.948
O  0.267  0.717  0.432
O  0.267  0.783  0.932
O  0.388  0.050  0.267
O  0.388  0.450  0.767
O  0.612  0.550  0.233
O  0.612  0.950  0.733
O  0.733  0.217  0.068
O  0.733  0.283  0.568
O  0.847  0.675  0.052
O  0.847  0.825  0.552